Record 1
Here is Li2MnGa2 at its PBEsol-relaxed geometry from Alexandria. Energies are from SCAN.

Unit cell a=6.8131 b=6.8131 c=6.8131 alpha=151.23 beta=151.23 gamma=41.14
With the nearest neighbours (Å) after each atom.
Atoms (fractional coordinates):
Li 0.2500 0.7500 0.5000  4 Li 2.39, 4 Ga 2.59
Li 0.7500 0.2500 0.5000  4 Li 2.39, 4 Ga 2.59
Mn 0.0000 0.0000 0.0000  8 Ga 2.69
Ga 0.4038 0.4038 0.0000  1 Ga 2.45, 4 Li 2.59, 4 Mn 2.69
Ga 0.5962 0.5962 0.0000  1 Ga 2.45, 4 Li 2.59, 4 Mn 2.69

## Properties
Calculated volume (Å³/cell): 73.1
Space group: I4/mmm, No. 139
ΔE_f (eV per atom): -0.128
Total energy (eV per atom): -11.273
Size of the total moment (μB/cell): 3.58

=====

Record 2
Here is Be4CrAu at its PBEsol-relaxed geometry from Alexandria. Energies are from SCAN.

Unit cell a=4.4270 b=4.4270 c=4.4270 alpha=60.00 beta=60.00 gamma=60.00
With the nearest neighbours (Å) after each atom.
Atoms (fractional coordinates):
Be 0.1254 0.1254 0.1254  6 Be 2.21-2.22
Be 0.1254 0.1254 0.6238  6 Be 2.21-2.22
Be 0.1254 0.6238 0.1254  6 Be 2.21-2.22
Be 0.6238 0.1254 0.1254  6 Be 2.21-2.22
Cr 0.5000 0.5000 0.5000  12 Be 2.59, 4 Au 2.71
Au 0.7500 0.7500 0.7500  12 Be 2.60, 4 Cr 2.71

## Properties
Calculated volume (Å³/cell): 61.3
Space group: F-43m, No. 216
ΔE_f (eV per atom): -0.233
Total energy (eV per atom): -17.726
Size of the total moment (μB/cell): 4.33

=====

Record 3
Here is RbNbTeO6 at its PBEsol-relaxed geometry from Alexandria. Energies are from SCAN.

Unit cell a=7.3200 b=7.3200 c=7.3200 alpha=120.66 beta=119.44 gamma=89.92
With the nearest neighbours (Å) after each atom.
Atoms (fractional coordinates):
Rb 0.3757 0.1257 0.2500  6 O 3.15-3.21
Rb 0.6243 0.8743 0.7500  6 O 3.15-3.21
Nb 0.0000 0.5000 0.5000  6 O 1.96-2.00
Nb 0.5000 0.5000 0.0000  6 O 1.96-2.00
Te 0.0000 0.0000 0.5000  6 O 1.91-1.96
Te 0.0000 0.5000 0.0000  6 O 1.91-1.96
O 0.0647 0.4311 0.2405  1 Te 1.91, 1 Nb 2.00
O 0.0647 0.8242 0.6336  1 Te 1.91, 1 Nb 2.00
O 0.0720 0.8220 0.2500  2 Te 1.96
O 0.3094 0.1758 0.7405  1 Te 1.91, 1 Nb 2.00
O 0.3094 0.5689 0.1336  1 Te 1.91, 1 Nb 2.00
O 0.3147 0.5647 0.7500  2 Nb 1.96
O 0.6853 0.4353 0.2500  2 Nb 1.96
O 0.6906 0.4311 0.8664  1 Te 1.91, 1 Nb 2.00
O 0.6906 0.8242 0.2595  1 Te 1.91, 1 Nb 2.00
O 0.9280 0.1780 0.7500  2 Te 1.96
O 0.9353 0.1758 0.3664  1 Te 1.91, 1 Nb 2.00
O 0.9353 0.5689 0.7595  1 Te 1.91, 1 Nb 2.00

## Properties
Calculated volume (Å³/cell): 277.1
Space group: Imma, No. 74
ΔE_f (raw) (meV/atom): -2003
Total energy (eV per atom): -16.282
Size of the total moment (μB/cell): 0.00

=====

Repeat the second record exactly.
Here is Be4CrAu at its PBEsol-relaxed geometry from Alexandria. Energies are from SCAN.

Unit cell a=4.4270 b=4.4270 c=4.4270 alpha=60.00 beta=60.00 gamma=60.00
With the nearest neighbours (Å) after each atom.
Atoms (fractional coordinates):
Be 0.1254 0.1254 0.1254  6 Be 2.21-2.22
Be 0.1254 0.1254 0.6238  6 Be 2.21-2.22
Be 0.1254 0.6238 0.1254  6 Be 2.21-2.22
Be 0.6238 0.1254 0.1254  6 Be 2.21-2.22
Cr 0.5000 0.5000 0.5000  12 Be 2.59, 4 Au 2.71
Au 0.7500 0.7500 0.7500  12 Be 2.60, 4 Cr 2.71

## Properties
Calculated volume (Å³/cell): 61.3
Space group: F-43m, No. 216
ΔE_f (eV per atom): -0.233
Total energy (eV per atom): -17.726
Size of the total moment (μB/cell): 4.33